This record from Alexandria describes a geometry-optimized Bi3MoBr structure. The functional is PBE.

The space group is Pm-3m (No. 221) and the conventional cell measures 5.3986, 5.3986 and 5.3986 Å, with angles of 90.00, 90.00 and 90.00 degrees. The inequivalent atoms are Bi at (0.0000, 0.0000, 0.5000), Mo at (0.0000, 0.0000, 0.0000) and Br at (0.5000, 0.5000, 0.5000).

The value obtained for the energy above the lowest structure with this stoichiometry is 0.000 eV per atom. The uncorrected formation energy comes out at 30.4 kJ per mole of atoms.

***

This record from Alexandria describes a geometry-optimized Rb2BiMoBr6 structure. The functional is PBE.

The space group is I4/mmm (No. 139) and the conventional cell measures 8.0957, 8.0957 and 11.4086 Å, with angles of 90.00, 90.00 and 90.00 degrees. The inequivalent atoms are Rb at (0.0000, 0.5000, 0.2500), Bi at (0.0000, 0.0000, 0.0000), Mo at (0.0000, 0.0000, 0.5000), Br at (0.0000, 0.0000, 0.2640) and Br at (0.2349, 0.2349, 0.5000).

The uncorrected formation energy comes out at -79.7 kJ per mole of atoms.

***

This record from Alexandria describes a geometry-optimized BiSb2MoBr structure. The functional is PBE.

The space group is P4/mmm (No. 123) and the conventional cell measures 5.6357, 5.6357 and 4.8475 Å, with angles of 90.00, 90.00 and 90.00 degrees. The inequivalent atoms are Bi at (0.0000, 0.0000, 0.0000), Sb at (0.0000, 0.5000, 0.5000), Mo at (0.5000, 0.5000, 0.0000) and Br at (0.5000, 0.5000, 0.5000).

The uncorrected formation energy comes out at 117.2 kJ per mole of atoms.

***

This record from Alexandria describes a geometry-optimized BiMo2SeBr structure. The functional is PBE.

The space group is P4/mmm (No. 123) and the conventional cell measures 4.8211, 4.8211 and 5.3675 Å, with angles of 90.00, 90.00 and 90.00 degrees. The inequivalent atoms are Bi at (0.0000, 0.0000, 0.0000), Mo at (0.0000, 0.5000, 0.5000), Se at (0.5000, 0.5000, 0.0000) and Br at (0.5000, 0.5000, 0.5000).

The uncorrected formation energy comes out at 150.0 kJ per mole of atoms.

***

This record from Alexandria describes a geometry-optimized SiBiMoBr2 structure. The functional is PBE.

The space group is P4/mmm (No. 123) and the conventional cell measures 5.0742, 5.0742 and 5.1100 Å, with angles of 90.00, 90.00 and 90.00 degrees. The inequivalent atoms are Si at (0.0000, 0.0000, 0.0000), Bi at (0.5000, 0.5000, 0.0000), Mo at (0.0000, 0.0000, 0.5000) and Br at (0.0000, 0.5000, 0.5000).

The uncorrected formation energy comes out at 57.3 kJ per mole of atoms.

***

This record from Alexandria describes a geometry-optimized TlBiMoBr2 structure. The functional is PBE.

The space group is P4/mmm (No. 123) and the conventional cell measures 4.9878, 4.9878 and 5.9977 Å, with angles of 90.00, 90.00 and 90.00 degrees. The inequivalent atoms are Tl at (0.0000, 0.0000, 0.0000), Bi at (0.5000, 0.5000, 0.0000), Mo at (0.0000, 0.0000, 0.5000) and Br at (0.0000, 0.5000, 0.5000).

The uncorrected formation energy comes out at 44.5 kJ per mole of atoms.

***

Which formula does entry 4 have? BiMo2SeBr